The following is a PBEsol calculation of SrNd3Ni2O8 after structural relaxation, from Alexandria via LeMat-Bulk.

The value obtained for the uncorrected formation energy is -2.4985 eV/atom. The value obtained for the uncorrected energy is -7.616 eV per atom. For the density of states at the Fermi level, the calculation gives 6.03 states/eV per cell.

The structure belongs to space group Amm2 (No. 38); the cell edges are 5.2896, 5.2908 and 12.3176 Å and the angles 90.00°, 90.00° and 90.00°. The distinct sites, in fractional coordinates, are Sr at (0.0000, 0.0000, 0.0000), Nd at (0.0000, 0.0000, 0.7229), Nd at (0.5000, 0.0000, 0.2194), Nd at (0.5000, 0.0000, 0.4936), Ni at (0.0000, 0.0000, 0.3602), Ni at (0.5000, 0.0000, 0.8631), O at (0.0000, 0.0000, 0.1951), O at (0.0000, 0.0000, 0.5328), O at (0.2551, 0.2459, 0.3538), O at (0.5000, 0.0000, 0.0317) and O at (0.5000, 0.0000, 0.6821).


The following is a PBEsol calculation of Co2PIrAu after structural relaxation, from Alexandria via LeMat-Bulk.

The value obtained for the uncorrected energy is -5.349 eV per atom. For the density of states at the Fermi level, the calculation gives 10.05 states/eV per cell.

The structure belongs to space group P4/mmm (No. 123); the cell edges are 4.4073, 4.4073 and 4.9785 Å and the angles 90.00°, 90.00° and 90.00°. The distinct sites, in fractional coordinates, are Co at (0.0000, 0.5000, 0.0000), P at (0.0000, 0.0000, 0.5000), Ir at (0.5000, 0.5000, 0.0000) and Au at (0.5000, 0.5000, 0.5000).


The following is a PBEsol calculation of CaHgAsRh2 after structural relaxation, from Alexandria via LeMat-Bulk.

The value obtained for the uncorrected energy is -3.380 eV per atom. For the density of states at the Fermi level, the calculation gives 7.35 states/eV per cell.

The structure belongs to space group P4/mmm (No. 123); the cell edges are 4.6679, 4.6679 and 5.1921 Å and the angles 90.00°, 90.00° and 90.00°. The distinct sites, in fractional coordinates, are Ca at (0.0000, 0.0000, 0.0000), Hg at (0.0000, 0.0000, 0.5000), As at (0.5000, 0.5000, 0.5000) and Rh at (0.0000, 0.5000, 0.0000).


The following is a PBEsol calculation of RbTaW3 after structural relaxation, from Alexandria via LeMat-Bulk.

The value obtained for the uncorrected energy is -8.427 eV per atom. For the density of states at the Fermi level, the calculation gives 3.98 states/eV per cell.

The structure belongs to space group Pm-3m (No. 221); the cell edges are 4.9112, 4.9112 and 4.9112 Å and the angles 90.00°, 90.00° and 90.00°. The distinct sites, in fractional coordinates, are Rb at (0.0000, 0.0000, 0.0000), Ta at (0.5000, 0.5000, 0.5000) and W at (0.0000, 0.5000, 0.5000).


The following is a PBEsol calculation of K2CaTa after structural relaxation, from Alexandria via LeMat-Bulk.

The value obtained for the uncorrected energy is -3.102 eV per atom. For the density of states at the Fermi level, the calculation gives 9.56 states/eV per cell. The calculation puts the distance to the lowest polymorph of the same formula at 0.010 eV per atom.

The structure belongs to space group Cm (No. 8); the cell edges are 10.9782, 3.0930 and 8.8694 Å and the angles 90.00°, 92.17° and 90.00°. The distinct sites, in fractional coordinates, are K at (0.0000, 0.0000, 0.0000), K at (0.2417, 0.0000, 0.6618), Ca at (0.2586, 0.5000, 0.2743) and Ta at (0.4942, 0.0000, 0.3969).


The following is a PBEsol calculation of Si2TeAu after structural relaxation, from Alexandria via LeMat-Bulk.

The value obtained for the uncorrected formation energy is 0.3743 eV/atom. The value obtained for the uncorrected energy is -4.362 eV per atom. For the density of states at the Fermi level, the calculation gives 1.90 states/eV per cell.

The structure belongs to space group Pmmm (No. 47); the cell edges are 2.9996, 3.5097 and 7.2640 Å and the angles 90.00°, 90.00° and 90.00°. The distinct sites, in fractional coordinates, are Si at (0.0000, 0.0000, 0.2074), Te at (0.5000, 0.5000, 0.5000) and Au at (0.5000, 0.5000, 0.0000).


The following is a PBEsol calculation of CuBrO2 after structural relaxation, from Alexandria via LeMat-Bulk.

The value obtained for the uncorrected formation energy is -0.1436 eV/atom. The value obtained for the uncorrected energy is -4.319 eV per atom.

The structure belongs to space group C222_1 (No. 20); the cell edges are 7.0103, 10.8414 and 3.6340 Å and the angles 90.00°, 90.00° and 90.00°. The distinct sites, in fractional coordinates, are Cu at (0.2351, 0.0000, 0.0000), Br at (0.0000, 0.1354, 0.2500) and O at (0.0914, 0.4095, 0.7859).


The following is a PBEsol calculation of MgInRhO2 after structural relaxation, from Alexandria via LeMat-Bulk.

The value obtained for the uncorrected formation energy is -0.2539 eV/atom. The value obtained for the uncorrected energy is -4.921 eV per atom. For the density of states at the Fermi level, the calculation gives 3.70 states/eV per cell.

The structure belongs to space group P4/mmm (No. 123); the cell edges are 3.8160, 3.8160 and 5.1114 Å and the angles 90.00°, 90.00° and 90.00°. The distinct sites, in fractional coordinates, are Mg at (0.0000, 0.0000, 0.0000), In at (0.5000, 0.5000, 0.5000), Rh at (0.0000, 0.0000, 0.5000) and O at (0.0000, 0.5000, 0.0000).


The following is a PBEsol calculation of Cs2HAu after structural relaxation, from Alexandria via LeMat-Bulk.

The value obtained for the uncorrected energy is -2.359 eV per atom. For the density of states at the Fermi level, the calculation gives 0.00 states/eV per cell. The calculation puts the distance to the lowest polymorph of the same formula at 0.030 eV per atom.

The structure belongs to space group I-42d (No. 122); the cell edges are 8.3861, 8.3861 and 8.4289 Å and the angles 90.00°, 90.00° and 90.00°. The distinct sites, in fractional coordinates, are Cs at (0.1938, 0.7500, 0.1250), H at (0.0000, 0.0000, 0.0000) and Au at (0.0000, 0.0000, 0.5000).


The following is a PBEsol calculation of LaTaNi2Sn after structural relaxation, from Alexandria via LeMat-Bulk.

The value obtained for the uncorrected energy is -5.400 eV per atom. For the density of states at the Fermi level, the calculation gives 4.36 states/eV per cell.

The structure belongs to space group P4/mmm (No. 123); the cell edges are 4.5273, 4.5273 and 5.3285 Å and the angles 90.00°, 90.00° and 90.00°. The distinct sites, in fractional coordinates, are La at (0.0000, 0.0000, 0.0000), Ta at (0.0000, 0.0000, 0.5000), Ni at (0.0000, 0.5000, 0.0000) and Sn at (0.5000, 0.5000, 0.5000).


The following is a PBEsol calculation of TbCuAs2 after structural relaxation, from Alexandria via LeMat-Bulk.

The value obtained for the uncorrected energy is -5.763 eV per atom. For the density of states at the Fermi level, the calculation gives 1.88 states/eV per cell.

The structure belongs to space group P4/nmm (No. 129, origin choice 2); the cell edges are 3.8673, 3.8673 and 9.6929 Å and the angles 90.00°, 90.00° and 90.00°. The distinct sites, in fractional coordinates, are Tb at (0.2500, 0.2500, 0.2389), Cu at (0.2500, 0.7500, 0.5000), As at (0.2500, 0.2500, 0.6595) and As at (0.2500, 0.7500, 0.0000).


The following is a PBEsol calculation of Mn3ZnTe after structural relaxation, from Alexandria via LeMat-Bulk.

The value obtained for the uncorrected formation energy is 1.2512 eV/atom. The value obtained for the uncorrected energy is -5.627 eV per atom. For the density of states at the Fermi level, the calculation gives 2.78 states/eV per cell.

The structure belongs to space group Pm-3m (No. 221); the cell edges are 4.8624, 4.8624 and 4.8624 Å and the angles 90.00°, 90.00° and 90.00°. The distinct sites, in fractional coordinates, are Mn at (0.0000, 0.0000, 0.5000), Zn at (0.5000, 0.5000, 0.5000) and Te at (0.0000, 0.0000, 0.0000).


The following is a PBEsol calculation of ScFe3Tc after structural relaxation, from Alexandria via LeMat-Bulk.

The value obtained for the uncorrected energy is -7.987 eV per atom. For the density of states at the Fermi level, the calculation gives 7.78 states/eV per cell.

The structure belongs to space group Pm-3m (No. 221); the cell edges are 4.3270, 4.3270 and 4.3270 Å and the angles 90.00°, 90.00° and 90.00°. The distinct sites, in fractional coordinates, are Sc at (0.0000, 0.0000, 0.0000), Fe at (0.0000, 0.5000, 0.5000) and Tc at (0.5000, 0.5000, 0.5000).